1.
Entry from Alexandria: an optimized crystal structure of LaMg2Zn2Cu (PBE-GGA).

The structure belongs to space group I4/mmm (No. 139); the cell edges are 5.0655, 5.0655 and 11.1166 Å and the angles 90.00°, 90.00° and 90.00°. The inequivalent atoms are La at (0.0000, 0.0000, 0.0000), Mg at (0.0000, 0.5000, 0.2500), Zn at (0.0000, 0.0000, 0.2907) and Cu at (0.0000, 0.0000, 0.5000).

As for the total energy: -2.3411 eV/atom. The calculation puts the volume at 285 Å³ per cell.

2.
Entry from Alexandria: an optimized crystal structure of CdCu2I (PBE-GGA).

The structure belongs to space group I-42d (No. 122); the cell edges are 6.9815, 6.9815 and 7.8992 Å and the angles 90.00°, 90.00° and 90.00°. The inequivalent atoms are Cd at (0.0000, 0.0000, 0.0000), Cu at (0.2481, 0.2500, 0.6250) and I at (0.0000, 0.0000, 0.5000).

The formation energy from raw total energies is 401 meV per atom. The calculation puts the energy above the most stable polymorph in this dataset at 0.000 eV/atom. The calculation puts the volume at 385 Å³ per cell.

3.
Entry from Alexandria: an optimized crystal structure of K2CeI8 (PBE-GGA).

The structure belongs to space group C2/m (No. 12); the cell edges are 15.2996, 12.4801 and 6.3908 Å and the angles 90.00°, 104.53° and 90.00°. The inequivalent atoms are K at (0.2186, 0.0000, 0.0862), Ce at (0.0000, 0.5000, 0.0000), I at (0.0068, 0.0000, 0.2568), I at (0.0883, 0.3236, 0.8016) and I at (0.1783, 0.5000, 0.3511).

The formation energy from raw total energies is -973 meV per atom. The calculation puts the volume at 1181 Å³ per cell.

4.
Entry from Alexandria: an optimized crystal structure of Tb2DyPaSe4 (PBE-GGA).

The structure belongs to space group P2/m (No. 10); the cell edges are 7.0850, 4.0407 and 7.0996 Å and the angles 90.00°, 108.90° and 90.00°. The inequivalent atoms are Tb at (0.0000, 0.0000, 0.0000), Tb at (0.0000, 0.5000, 0.5000), Dy at (0.5000, 0.0000, 0.5000), Pa at (0.5000, 0.5000, 0.0000), Se at (0.2488, 0.0000, 0.7475) and Se at (0.2508, 0.5000, 0.2517).

The formation energy from raw total energies is -1608 meV per atom. The calculation puts the volume at 192 Å³ per cell.

- What is the formula in the fourth record?
  Tb2DyPaSe4